A.
The following is a PBE calculation of crystalline Pm4Dy7Th at its relaxed geometry, from the Alexandria database.

Cell and atoms, written as extended XYZ:
```
12
Lattice="7.146 0.000 0.000 -3.569 7.165 0.000 -1.744 -1.785 7.610" Properties=species:S:1:pos:R:3 pbc="T T T"
Pm -0.861 0.919 1.285
Pm -0.859 4.467 1.303
Pm 2.691 0.914 6.306
Pm 2.693 4.461 6.324
Dy -2.657 2.690 3.805
Dy 0.913 -0.858 3.803
Dy -0.828 0.929 6.307
Dy -0.839 4.464 6.313
Dy 2.671 0.917 1.297
Dy 2.660 4.452 1.303
Dy 0.919 6.238 3.807
Th 0.916 2.690 3.805
```

Properties
The calculation puts the theoretical density at 8.31 g cm⁻³.

B.
The following is a PBE calculation of crystalline Pm4Dy7Th at its relaxed geometry, from the Alexandria database.

Cell and atoms, written as extended XYZ:
```
12
Lattice="6.079 -2.984 0.000 6.079 2.984 0.000 -6.033 0.000 11.242" Properties=species:S:1:pos:R:3 pbc="T T T"
Pm -1.230 0.000 3.680
Pm 3.047 0.000 2.506
Pm 3.078 0.000 8.736
Pm 7.355 0.000 7.563
Dy 0.000 0.000 0.000
Dy -3.016 0.000 10.382
Dy -1.119 0.000 7.664
Dy 1.448 0.000 5.590
Dy 4.678 0.000 5.653
Dy 7.244 0.000 3.579
Dy 9.142 0.000 0.860
Th 6.079 0.000 0.000
```

Properties
The calculation puts the theoretical density at 7.94 g cm⁻³.

Q: Which of them is the least stable? A: B.